Record 1
A PBEsol-optimized structure of CaSbTe2Os. Source: the Alexandria database, functional meta-GGA SCAN.

Calculated values
Formation energy from raw total energies in eV/atom: 1.58
Spin magnetization in Bohr magnetons per cell: 2.87
Crystal system: tetragonal
Calculated density in g/cm³: 6.0

Geometry as POSCAR:
```
CaSbTe2Os
1.0
5.502 0.000 0.000
0.000 5.502 0.000
0.000 0.000 5.595
Ca Sb Te Os
1 1 2 1
Cartesian
0.000 0.000 0.000
0.000 0.000 2.797
0.000 2.751 0.000
2.751 0.000 0.000
2.751 2.751 2.797
```

=====

Record 2
A PBEsol-optimized structure of CaScOs. Source: the Alexandria database, functional meta-GGA SCAN.

Calculated values
Formation energy from the elements in eV per atom: -0.11
Spin magnetization in Bohr magnetons per cell: 0.00
Crystal system: tetragonal
Calculated density in g/cm³: 6.9

Geometry as POSCAR:
```
CaScOs
1.0
-1.644 1.644 6.126
1.644 -1.644 6.126
1.644 1.644 -6.126
Ca Sc Os
1 1 1
Cartesian
0.000 0.000 0.000
0.000 0.000 3.167
0.000 0.000 7.987
```